A plane-wave DFT calculation with GGA-PBE was carried out for SrHgOF2 after structural relaxation.

Values from the calculation:
ΔE_f (raw): -9.2 eV/f.u.
polymorph energy (0 for the lowest one): 0 kJ/mol of formula units

CIF file:
```
data_SrHgOF2
_cell_length_a 4.655
_cell_length_b 4.655
_cell_length_c 4.253
_cell_angle_alpha 90.00
_cell_angle_beta 90.00
_cell_angle_gamma 90.00
_space_group_name_H-M_alt 'P 4/m m m'
_space_group_IT_number 123
_space_group_name_Hall '-P 4 2'
loop_
_atom_site_label
_atom_site_fract_x
_atom_site_fract_y
_atom_site_fract_z
Sr1 0.000 0.000 0.000
Hg1 0.500 0.500 0.500
O1 0.500 0.500 0.000
F1 0.000 0.500 0.500
```

***

A plane-wave DFT calculation with GGA-PBE was carried out for SrHgO2F after structural relaxation.

Values from the calculation:
ΔE_f (raw): -4.5 eV/f.u.

CIF file:
```
data_SrHgO2F
_cell_length_a 4.729
_cell_length_b 4.729
_cell_length_c 4.566
_cell_angle_alpha 90.00
_cell_angle_beta 90.00
_cell_angle_gamma 90.00
_space_group_name_H-M_alt 'P 4/m m m'
_space_group_IT_number 123
_space_group_name_Hall '-P 4 2'
loop_
_atom_site_label
_atom_site_fract_x
_atom_site_fract_y
_atom_site_fract_z
Sr1 0.000 0.000 0.000
Hg1 0.500 0.500 0.500
O1 0.000 0.500 0.000
F1 0.000 0.000 0.500
```

***

A plane-wave DFT calculation with GGA-PBE was carried out for Sr2HgO2F2 after structural relaxation.

Values from the calculation:
ΔE_f (raw): -18.1 eV/f.u.

CIF file:
```
data_Sr2HgO2F2
_cell_length_a 13.036
_cell_length_b 3.860
_cell_length_c 6.652
_cell_angle_alpha 90.00
_cell_angle_beta 113.06
_cell_angle_gamma 90.00
_space_group_name_H-M_alt 'C 1 2/m 1'
_space_group_IT_number 12
_space_group_name_Hall '-C 2y'
loop_
_atom_site_label
_atom_site_fract_x
_atom_site_fract_y
_atom_site_fract_z
Sr1 0.230 0.000 0.235
Hg1 0.000 0.000 0.500
O1 0.160 0.000 0.533
F1 0.154 0.500 0.988
```

***

A plane-wave DFT calculation with GGA-PBE was carried out for TaHgO2F after structural relaxation.

Values from the calculation:
ΔE_f (raw): 2.3 eV/f.u.

CIF file:
```
data_TaHgO2F
_cell_length_a 4.237
_cell_length_b 4.237
_cell_length_c 4.415
_cell_angle_alpha 90.00
_cell_angle_beta 90.00
_cell_angle_gamma 90.00
_space_group_name_H-M_alt 'P 4/m m m'
_space_group_IT_number 123
_space_group_name_Hall '-P 4 2'
loop_
_atom_site_label
_atom_site_fract_x
_atom_site_fract_y
_atom_site_fract_z
Ta1 0.000 0.000 0.000
Hg1 0.500 0.500 0.500
O1 0.000 0.500 0.500
F1 0.500 0.500 0.000
```

***

A plane-wave DFT calculation with GGA-PBE was carried out for TaHgOF2 after structural relaxation.

Values from the calculation:
ΔE_f (raw): 1.0 eV/f.u.
polymorph energy (0 for the lowest one): 1000 kJ/mol of formula units

CIF file:
```
data_TaHgOF2
_cell_length_a 4.472
_cell_length_b 4.472
_cell_length_c 4.329
_cell_angle_alpha 90.00
_cell_angle_beta 90.00
_cell_angle_gamma 90.00
_space_group_name_H-M_alt 'P 4/m m m'
_space_group_IT_number 123
_space_group_name_Hall '-P 4 2'
loop_
_atom_site_label
_atom_site_fract_x
_atom_site_fract_y
_atom_site_fract_z
Ta1 0.000 0.000 0.000
Hg1 0.500 0.500 0.500
O1 0.500 0.500 0.000
F1 0.000 0.500 0.500
```

***

A plane-wave DFT calculation with GGA-PBE was carried out for TaHgO2F after structural relaxation.

Values from the calculation:
ΔE_f (raw): -9.4 eV/f.u.

CIF file:
```
data_TaHgO2F
_cell_length_a 4.002
_cell_length_b 4.002
_cell_length_c 4.383
_cell_angle_alpha 90.00
_cell_angle_beta 90.00
_cell_angle_gamma 90.00
_space_group_name_H-M_alt 'P 4/m m m'
_space_group_IT_number 123
_space_group_name_Hall '-P 4 2'
loop_
_atom_site_label
_atom_site_fract_x
_atom_site_fract_y
_atom_site_fract_z
Ta1 0.000 0.000 0.000
Hg1 0.500 0.500 0.500
O1 0.000 0.500 0.000
F1 0.000 0.000 0.500
```